# 1
DFT (PBE) results for a geometry-optimized Sr2NiPd structure.

abc: 7.9457 7.9457 6.5463
angles: 52.64 52.64 90.00
Positions (direct):
Pd 0.7500 0.2500 0.5000
Pd 0.0000 0.0000 0.0000
Sr 0.6143 0.1250 0.2500
Sr 0.3750 0.3857 0.7500
Sr 0.1357 0.6250 0.2500
Sr 0.8750 0.8643 0.7500
Ni 0.5000 0.5000 0.0000
Ni 0.2500 0.7500 0.5000

Properties
The formation energy comes out at 0.31 eV per formula unit. As for the theoretical density: 5.33 Mg/m³. For the density of states at the Fermi level, the calculation gives 2.77 states/eV/cell. As for the energy above the most stable polymorph in this dataset: 0.382 eV per atom.


# 2
DFT (PBE) results for a geometry-optimized Sr2NiPd structure.

abc: 3.7017 5.2271 5.2271
angles: 90.00 90.00 90.00
Site moments in Bohr magnetons follow the coordinates.
Positions (direct):
Ni 0.5000 0.5000 0.5000  0.17
Sr 0.0000 0.0000 0.5000  -0.01
Sr 0.0000 0.5000 0.0000  -0.01
Pd 0.5000 0.0000 0.0000  0.01

Properties
The formation energy comes out at -0.68 eV per formula unit. As for the theoretical density: 5.59 Mg/m³. For the density of states at the Fermi level, the calculation gives 2.41 states/eV/cell. As for the energy above the most stable polymorph in this dataset: 0.134 eV per atom.


# 3
DFT (PBE) results for a geometry-optimized Sr2NiPd structure.

abc: 4.3032 4.3032 8.2451
angles: 74.86 74.87 60.00
Positions (direct):
Sr 0.7179 0.4808 0.0834
Sr 0.8872 0.6502 0.5754
Pd 0.1358 0.8987 0.8298
Ni 0.4694 0.2323 0.8288

Properties
The formation energy comes out at -1.22 eV per formula unit. As for the theoretical density: 4.48 Mg/m³. For the density of states at the Fermi level, the calculation gives 3.82 states/eV/cell. As for the energy above the most stable polymorph in this dataset: 0.000 eV per atom.


# 4
DFT (PBE) results for a geometry-optimized Sr2Ni2Pd structure.

abc: 5.7611 5.7611 5.4550
angles: 58.13 58.13 90.00
Positions (direct):
Pd 0.0000 0.0000 0.0000
Sr 0.2500 0.7500 0.5000
Sr 0.7500 0.2500 0.5000
Ni 0.6559 0.6559 0.6883
Ni 0.3441 0.3441 0.3117

Properties
The formation energy comes out at 0.29 eV per formula unit. As for the theoretical density: 5.50 Mg/m³. For the density of states at the Fermi level, the calculation gives 3.41 states/eV/cell. As for the energy above the most stable polymorph in this dataset: 0.140 eV per atom.